The following is a GGA-PBE calculation of a relaxed In2IrPbCl crystal, from Alexandria via LeMat-Bulk.

Unit cell a=5.2247 b=5.2247 c=5.2153 alpha=90.00 beta=90.00 gamma=90.00
Positions (direct):
Pb 0.0000 0.0000 0.5000
Ir 0.0000 0.0000 0.0000
In 0.0000 0.5000 0.0000
In 0.5000 0.0000 0.0000
Cl 0.5000 0.5000 0.5000

## Properties
Spin magnetization ... 0.00 μB per cell
SG ... No. 123
Formation energy (no corrections) ... -392.7 meV/atom
Theoretical density ... 7.8 g/cm³